## TaCu2Os (GGA-PBE)

Data for an optimized crystal structure of TaCu2Os.

Excess energy over the best structure of this formula in the dataset   290 meV per atom
Formation energy from the elements   0.293 eV per atom
Calculated volume   57.6 Å³ per cell
Uncorrected energy   -30.1 eV/cell

Lattice parameters (Å, degrees): 9.1693 9.1693 9.1693 17.02 17.02 17.02
Element x y z (fractional)
Cu: 0.9968 0.9968 0.9968
Cu: 0.5032 0.5032 0.5032
Os: 0.2500 0.2500 0.2500
Ta: 0.7500 0.7500 0.7500